Record 1
# Pr6C2S3Br PBE relaxed
# - Symmetry: No. 12
# - Energy relative to the elements, uncorrected: -1277 meV/atom
# - E: -6.38 eV/atom
data_Pr6C2S3Br
_space_group_name_H-M_alt 'P 1'
_space_group_IT_number 1
_cell_length_a 9.028
_cell_length_b 9.028
_cell_length_c 8.311
_cell_angle_alpha 101.77
_cell_angle_beta 101.77
_cell_angle_gamma 25.44
loop_
_space_group_symop_operation_xyz
'x,y,z'
loop_
_atom_site_label
_atom_site_type_symbol
_atom_site_fract_x
_atom_site_fract_y
_atom_site_fract_z
Pr1 Pr 0.020 0.020 0.282
Pr2 Pr 0.322 0.322 0.872
Pr3 Pr 0.326 0.326 0.432
Pr4 Pr 0.674 0.674 0.568
Pr5 Pr 0.678 0.678 0.128
Pr6 Pr 0.980 0.980 0.718
C1 C 0.169 0.169 0.334
C2 C 0.831 0.831 0.666
S1 S 0.159 0.159 0.838
S2 S 0.500 0.500 0.500
S3 S 0.841 0.841 0.162
Br1 Br 0.500 0.500 0.000

Record 2
# Pr6C3S2Br PBE relaxed
# - Symmetry: No. 12
# - Energy relative to the elements, uncorrected: -988 meV/atom
# - E: -6.51 eV/atom
data_Pr6C3S2Br
_space_group_name_H-M_alt 'P 1'
_space_group_IT_number 1
_cell_length_a 9.114
_cell_length_b 9.114
_cell_length_c 8.237
_cell_angle_alpha 106.87
_cell_angle_beta 106.87
_cell_angle_gamma 24.81
loop_
_space_group_symop_operation_xyz
'x,y,z'
loop_
_atom_site_label
_atom_site_type_symbol
_atom_site_fract_x
_atom_site_fract_y
_atom_site_fract_z
Pr1 Pr 0.011 0.011 0.216
Pr2 Pr 0.321 0.321 0.436
Pr3 Pr 0.339 0.339 0.901
Pr4 Pr 0.661 0.661 0.099
Pr5 Pr 0.679 0.679 0.564
Pr6 Pr 0.989 0.989 0.784
C1 C 0.168 0.168 0.331
C2 C 0.500 0.500 0.000
C3 C 0.832 0.832 0.669
S1 S 0.164 0.164 0.828
S2 S 0.836 0.836 0.172
Br1 Br 0.500 0.500 0.500

Record 3
# Pr8C3SBr4 PBE relaxed
# - Symmetry: No. 166
# - Energy relative to the elements, uncorrected: -1066 meV/atom
# - E: -5.86 eV/atom
data_Pr8C3SBr4
_space_group_name_H-M_alt 'P 1'
_space_group_IT_number 1
_cell_length_a 8.741
_cell_length_b 8.741
_cell_length_c 8.741
_cell_angle_alpha 53.51
_cell_angle_beta 53.51
_cell_angle_gamma 53.51
loop_
_space_group_symop_operation_xyz
'x,y,z'
loop_
_atom_site_label
_atom_site_type_symbol
_atom_site_fract_x
_atom_site_fract_y
_atom_site_fract_z
Pr1 Pr 0.208 0.740 0.740
Pr2 Pr 0.228 0.228 0.228
Pr3 Pr 0.260 0.260 0.792
Pr4 Pr 0.260 0.792 0.260
Pr5 Pr 0.740 0.208 0.740
Pr6 Pr 0.740 0.740 0.208
Pr7 Pr 0.772 0.772 0.772
Pr8 Pr 0.792 0.260 0.260
C1 C 0.000 0.000 0.500
C2 C 0.000 0.500 0.000
C3 C 0.500 0.000 0.000
S1 S 0.500 0.500 0.500
Br1 Br 0.000 0.000 0.000
Br2 Br 0.000 0.500 0.500
Br3 Br 0.500 0.000 0.500
Br4 Br 0.500 0.500 0.000

Record 4
# Pr4CSBr2 PBE relaxed
# - Symmetry: No. 10
# - Energy relative to the elements, uncorrected: -1259 meV/atom
# - E: -5.74 eV/atom
data_Pr4CSBr2
_space_group_name_H-M_alt 'P 1'
_space_group_IT_number 1
_cell_length_a 7.077
_cell_length_b 3.979
_cell_length_c 7.694
_cell_angle_alpha 90.00
_cell_angle_beta 107.28
_cell_angle_gamma 90.00
loop_
_space_group_symop_operation_xyz
'x,y,z'
loop_
_atom_site_label
_atom_site_type_symbol
_atom_site_fract_x
_atom_site_fract_y
_atom_site_fract_z
Pr1 Pr 0.207 0.000 0.189
Pr2 Pr 0.237 0.500 0.806
Pr3 Pr 0.763 0.500 0.194
Pr4 Pr 0.793 0.000 0.811
C1 C 0.000 0.500 0.000
S1 S 0.500 0.000 0.000
Br1 Br 0.000 0.000 0.500
Br2 Br 0.500 0.500 0.500

Record 5
# Pr4CSe2Br PBE relaxed
# - Symmetry: No. 10
# - Energy relative to the elements, uncorrected: -1265 meV/atom
# - E: -5.89 eV/atom
data_Pr4CSe2Br
_space_group_name_H-M_alt 'P 1'
_space_group_IT_number 1
_cell_length_a 7.164
_cell_length_b 4.075
_cell_length_c 7.488
_cell_angle_alpha 90.00
_cell_angle_beta 108.28
_cell_angle_gamma 90.00
loop_
_space_group_symop_operation_xyz
'x,y,z'
loop_
_atom_site_label
_atom_site_type_symbol
_atom_site_fract_x
_atom_site_fract_y
_atom_site_fract_z
Pr1 Pr 0.215 0.000 0.206
Pr2 Pr 0.233 0.500 0.789
Pr3 Pr 0.767 0.500 0.211
Pr4 Pr 0.785 0.000 0.794
C1 C 0.000 0.500 0.000
Se1 Se 0.500 0.000 0.000
Se2 Se 0.500 0.500 0.500
Br1 Br 0.000 0.000 0.500

Record 6
# Pr4CSeBr2 PBE relaxed
# - Symmetry: No. 10
# - Energy relative to the elements, uncorrected: -1201 meV/atom
# - E: -5.60 eV/atom
data_Pr4CSeBr2
_space_group_name_H-M_alt 'P 1'
_space_group_IT_number 1
_cell_length_a 7.337
_cell_length_b 4.003
_cell_length_c 7.669
_cell_angle_alpha 90.00
_cell_angle_beta 107.38
_cell_angle_gamma 90.00
loop_
_space_group_symop_operation_xyz
'x,y,z'
loop_
_atom_site_label
_atom_site_type_symbol
_atom_site_fract_x
_atom_site_fract_y
_atom_site_fract_z
Pr1 Pr 0.199 0.000 0.191
Pr2 Pr 0.220 0.500 0.800
Pr3 Pr 0.780 0.500 0.200
Pr4 Pr 0.801 0.000 0.809
C1 C 0.000 0.500 0.000
Se1 Se 0.500 0.000 0.000
Br1 Br 0.000 0.000 0.500
Br2 Br 0.500 0.500 0.500

Record 7
# Pr8Si3CBr4 PBE relaxed
# - Symmetry: No. 166
# - Energy relative to the elements, uncorrected: -1003 meV/atom
# - E: -5.40 eV/atom
data_Pr8Si3CBr4
_space_group_name_H-M_alt 'P 1'
_space_group_IT_number 1
_cell_length_a 8.920
_cell_length_b 8.920
_cell_length_c 8.920
_cell_angle_alpha 56.08
_cell_angle_beta 56.08
_cell_angle_gamma 56.08
loop_
_space_group_symop_operation_xyz
'x,y,z'
loop_
_atom_site_label
_atom_site_type_symbol
_atom_site_fract_x
_atom_site_fract_y
_atom_site_fract_z
Pr1 Pr 0.238 0.238 0.238
Pr2 Pr 0.258 0.720 0.720
Pr3 Pr 0.280 0.280 0.742
Pr4 Pr 0.280 0.742 0.280
Pr5 Pr 0.720 0.258 0.720
Pr6 Pr 0.720 0.720 0.258
Pr7 Pr 0.742 0.280 0.280
Pr8 Pr 0.762 0.762 0.762
Si1 Si 0.000 0.000 0.500
Si2 Si 0.000 0.500 0.000
Si3 Si 0.500 0.000 0.000
C1 C 0.500 0.500 0.500
Br1 Br 0.000 0.000 0.000
Br2 Br 0.000 0.500 0.500
Br3 Br 0.500 0.000 0.500
Br4 Br 0.500 0.500 0.000

Record 8
# Pr4SiCBr2 PBE relaxed
# - Symmetry: No. 10
# - Energy relative to the elements, uncorrected: -933 meV/atom
# - E: -5.57 eV/atom
data_Pr4SiCBr2
_space_group_name_H-M_alt 'P 1'
_space_group_IT_number 1
_cell_length_a 7.123
_cell_length_b 4.061
_cell_length_c 7.884
_cell_angle_alpha 90.00
_cell_angle_beta 107.51
_cell_angle_gamma 90.00
loop_
_space_group_symop_operation_xyz
'x,y,z'
loop_
_atom_site_label
_atom_site_type_symbol
_atom_site_fract_x
_atom_site_fract_y
_atom_site_fract_z
Pr1 Pr 0.209 0.000 0.189
Pr2 Pr 0.239 0.500 0.801
Pr3 Pr 0.761 0.500 0.199
Pr4 Pr 0.791 0.000 0.811
Si1 Si 0.500 0.000 0.000
C1 C 0.000 0.500 0.000
Br1 Br 0.000 0.000 0.500
Br2 Br 0.500 0.500 0.500

Question: Which formula does entry 1 have?
Answer: Pr6C2S3Br

Copy entry 7 word for word.
# Pr8Si3CBr4 PBE relaxed
# - Symmetry: No. 166
# - Energy relative to the elements, uncorrected: -1003 meV/atom
# - E: -5.40 eV/atom
data_Pr8Si3CBr4
_space_group_name_H-M_alt 'P 1'
_space_group_IT_number 1
_cell_length_a 8.920
_cell_length_b 8.920
_cell_length_c 8.920
_cell_angle_alpha 56.08
_cell_angle_beta 56.08
_cell_angle_gamma 56.08
loop_
_space_group_symop_operation_xyz
'x,y,z'
loop_
_atom_site_label
_atom_site_type_symbol
_atom_site_fract_x
_atom_site_fract_y
_atom_site_fract_z
Pr1 Pr 0.238 0.238 0.238
Pr2 Pr 0.258 0.720 0.720
Pr3 Pr 0.280 0.280 0.742
Pr4 Pr 0.280 0.742 0.280
Pr5 Pr 0.720 0.258 0.720
Pr6 Pr 0.720 0.720 0.258
Pr7 Pr 0.742 0.280 0.280
Pr8 Pr 0.762 0.762 0.762
Si1 Si 0.000 0.000 0.500
Si2 Si 0.000 0.500 0.000
Si3 Si 0.500 0.000 0.000
C1 C 0.500 0.500 0.500
Br1 Br 0.000 0.000 0.000
Br2 Br 0.000 0.500 0.500
Br3 Br 0.500 0.000 0.500
Br4 Br 0.500 0.500 0.000